Density functional theory data (PBE) for crystalline TbEr2Ga3FeGe2 at its relaxed geometry.

Lattice parameters (Å, degrees): 4.1308 6.9477 6.9477 120.19 90.00 90.00
With the nearest neighbours (Å) after each atom.
Sites, in units of the cell vectors:
Ge1 0.5000 0.6676 0.3315  3 Ga 2.74-2.77, 4 Er 2.95-2.96, 2 Tb 2.97
Ge2 0.5000 0.3315 0.6676  3 Ga 2.74-2.77, 4 Er 2.95-2.96, 2 Tb 2.97
Ga1 0.5000 0.7733 0.0012  2 Fe 2.60, 2 Ga 2.72-2.75, 2 Ge 2.74-2.76
Ga2 0.5000 0.0012 0.7733  2 Fe 2.60, 2 Ga 2.72-2.75, 2 Ge 2.74-2.76
Ga3 0.5000 0.2266 0.2266  2 Fe 2.59, 2 Ga 2.72, 2 Ge 2.77
Fe1 0.0000 0.0021 0.0021  6 Ga 2.59-2.60, 2 Er 2.77, 1 Tb 2.79
Er1 0.0000 0.3991 0.9996  1 Fe 2.77, 4 Ge 2.95-2.96
Er2 0.0000 0.9996 0.3991  1 Fe 2.77, 4 Ge 2.95-2.96
Tb1 0.0000 0.5988 0.5988  1 Fe 2.79, 4 Ge 2.97

Results
For the energy, the calculation gives -5.1303 eV per atom. The total magnetic moment is 0.01 μB per cell.